LiVTcRh | PBE | relaxed

Cell and atoms, written as POSCAR:
```
LiVTcRh
1.0
0.000 2.972 2.972
2.972 0.000 2.972
2.972 2.972 0.000
Li V Tc Rh
1 1 1 1
Cartesian
0.000 0.000 0.000
2.972 2.972 2.972
1.486 1.486 1.486
4.457 4.457 4.457
```

The calculation puts the total magnetic moment at 0.00 μB per cell. The space group is No. 216. The calculation puts the electronic total energy at -0.5350 Ry/atom. For the formation energy from the elements, the calculation gives -0.092 eV/atom.